# 1
Material: LaTb3PmTh
Method: DFT, PBE
State: relaxed

a b c (Å): 19.964 5.665 7.098
angles (deg): 90.00 90.37 90.00
Space group C2/m (No. 12)
One atom of each set of equivalent atoms:
La: 0.145 0.000 0.455 x4
Tb: 0.023 0.000 0.753 x4
Tb: 0.157 0.500 0.757 x4
Tb: 0.221 0.500 0.252 x4
Pm: 0.148 0.000 0.034 x4
Th: 0.053 0.500 0.228 x4

Summary:
ΔE_f in eV per atom: 0.21
Density of states at the Fermi level in states/eV per cell: 33.7
Crystal system: monoclinic

***

# 2
Material: ThAlPd5
Method: DFT, PBE
State: relaxed

a b c (Å): 4.172 4.172 7.174
angles (deg): 90.00 90.00 90.00
Space group P4/mmm (No. 123)
One atom of each set of equivalent atoms:
Th: 0.000 0.000 0.000 x1
Al: 0.500 0.500 0.500 x1
Pd: 0.000 0.500 0.294 x4
Pd: 0.500 0.500 0.000 x1

Summary:
ΔE_f in eV per atom: -0.84
Density of states at the Fermi level in states/eV per cell: 1.1
Crystal system: tetragonal

***

# 3
Material: Rb4LaTb3Se8
Method: DFT, PBE
State: relaxed

a b c (Å): 8.6252 8.6252 24.0089
angles (deg): 90.00 90.00 120.00
Space group R-3m (No. 166, hexagonal axes)
One atom of each set of equivalent atoms:
Rb: 0.0000 0.0000 0.0000 x3
Rb: 0.0000 0.5000 0.0000 x9
La: 0.0000 0.0000 0.5000 x3
Tb: 0.0000 0.5000 0.5000 x9
Se: 0.0000 0.0000 0.2318 x6
Se: 0.0094 0.5047 0.7673 x18

Summary:
Density of states at the Fermi level in states/eV per cell: 0.0
E in eV per formula unit: -78.67
Crystal system: trigonal